1.
Compound: SrRh
Source: Alexandria via LeMat-Bulk
Functional: PBE
Structure: relaxed

Calculated values
D(E_F) ... 1.873 states/eV/f.u.
M_tot ... 0.254 μB per formula unit
E_form ... -0.0507 eV/atom

extended XYZ file:
```
6
Lattice="2.179 -9.056 0.000 2.179 9.056 0.000 0.000 0.000 4.440" Properties=species:S:1:pos:R:3 pbc="T T T"
Sr 0.000 0.000 0.000
Sr 2.179 2.886 2.220
Sr 2.179 -2.886 2.220
Rh 2.179 5.049 0.000
Rh 2.179 0.000 2.220
Rh 2.179 -5.049 0.000
```

2.
Compound: SrRh
Source: Alexandria via LeMat-Bulk
Functional: PBE
Structure: relaxed

Calculated values
D(E_F) ... 4.179 states/eV/f.u.
M_tot ... 0.057 μB per formula unit
E_form ... 0.3822 eV/atom

extended XYZ file:
```
8
Lattice="-4.267 4.267 4.267 4.267 -4.267 4.267 4.267 4.267 -4.267" Properties=species:S:1:pos:R:3 pbc="T T T"
Sr 2.478 2.478 -2.478
Sr 2.478 -2.478 2.478
Sr 1.789 1.789 1.789
Sr -2.478 2.478 2.478
Rh 0.959 0.959 -0.959
Rh 0.959 -0.959 0.959
Rh -0.959 0.959 0.959
Rh 3.307 3.307 3.307
```

3.
Compound: Sr2Rh
Source: Alexandria via LeMat-Bulk
Functional: PBE
Structure: relaxed

Calculated values
D(E_F) ... 3.651 states/eV/f.u.
M_tot ... 0.000 μB per formula unit
E_form ... 0.9742 eV/atom

extended XYZ file:
```
6
Lattice="0.000 4.512 4.512 4.512 0.000 4.512 4.512 4.512 0.000" Properties=species:S:1:pos:R:3 pbc="T T T"
Sr 0.000 0.000 0.000
Sr 2.256 2.256 0.000
Sr 2.256 0.000 2.256
Sr 0.000 2.256 2.256
Rh 3.384 3.384 3.384
Rh 5.640 5.640 5.640
```